Here is crystalline Ba2Cd5Bi at its relaxed geometry from Alexandria via LeMat-Bulk. Energies are from PBE.

Crystal system: orthorhombic
Formation enthalpy at 0 K in eV per atom: -0.412
VASP energy in eV/atom: -1.950

Unit cell a=9.7451 b=9.7451 c=10.3634 alpha=90.00 beta=90.00 gamma=149.30
Sites, in units of the cell vectors:
Ba 0.0000 0.0000 0.0000
Ba 0.0000 0.0000 0.5000
Ba 0.2007 0.7993 0.7500
Ba 0.7993 0.2007 0.2500
Cd 0.1867 0.8133 0.1100
Cd 0.1867 0.8133 0.3900
Cd 0.3418 0.6582 0.0174
Cd 0.3418 0.6582 0.4826
Cd 0.3946 0.6054 0.7500
Cd 0.6054 0.3946 0.2500
Cd 0.6582 0.3418 0.5174
Cd 0.6582 0.3418 0.9826
Cd 0.8133 0.1867 0.6100
Cd 0.8133 0.1867 0.8900
Bi 0.4458 0.5542 0.2500
Bi 0.5542 0.4458 0.7500

---

Here is crystalline Ca3PdPb at its relaxed geometry from Alexandria via LeMat-Bulk. Energies are from PBE.

Crystal system: cubic
E above lowest polymorph in eV/atom: 0.140
Formation enthalpy at 0 K in eV per atom: -0.413
VASP energy in eV/atom: -3.395

Unit cell a=5.4964 b=5.4964 c=5.4964 alpha=90.00 beta=90.00 gamma=90.00
Sites, in units of the cell vectors:
Ca 0.0000 0.0000 0.5000
Ca 0.0000 0.5000 0.0000
Ca 0.5000 0.0000 0.0000
Pd 0.0000 0.0000 0.0000
Pb 0.5000 0.5000 0.5000